1.
Material: Pm3IrPt2
Method: DFT, PBE
State: relaxed

Properties
Its total energy is -6.803 eV/atom. As for the energy above the most stable polymorph in this dataset: 0.000 eV/atom. The volume comes out at 135.9 Å³ per cell. The formation energy comes out at -937 meV per atom.

Unit cell a=3.543 b=3.543 c=10.823 alpha=90.00 beta=90.00 gamma=90.00
Space group P4/mmm (No. 123)
One atom of each set of equivalent atoms:
Pm 0.000 0.000 0.000 [1 per cell]
Pm 0.000 0.000 0.340 [2 per cell]
Ir 0.500 0.500 0.500 [1 per cell]
Pt 0.500 0.500 0.167 [2 per cell]

2.
Material: Pm4Ir3Pt
Method: DFT, PBE
State: relaxed

Properties
Its total energy is -7.237 eV/atom. The volume comes out at 186.4 Å³ per cell. The formation energy comes out at -784 meV per atom.

Unit cell a=4.007 b=4.235 c=10.983 alpha=90.00 beta=90.00 gamma=90.00
Space group Pmm2 (No. 25)
One atom of each set of equivalent atoms:
Pm 0.000 0.000 0.000 [1 per cell]
Pm 0.000 0.500 0.282 [1 per cell]
Pm 0.500 0.000 0.491 [1 per cell]
Pm 0.500 0.500 0.784 [1 per cell]
Ir 0.000 0.500 0.555 [1 per cell]
Ir 0.500 0.000 0.219 [1 per cell]
Ir 0.500 0.500 0.055 [1 per cell]
Pt 0.000 0.000 0.722 [1 per cell]

3.
Material: Pm7Ir4Pt
Method: DFT, PBE
State: relaxed

Properties
Its total energy is -6.905 eV/atom. The volume comes out at 643.5 Å³ per cell. The formation energy comes out at -677 meV per atom.

Unit cell a=13.583 b=4.026 c=12.179 alpha=90.00 beta=104.93 gamma=90.00
Space group Cm (No. 8)
One atom of each set of equivalent atoms:
Pm 0.000 0.000 0.000 [2 per cell]
Pm 0.013 0.500 0.287 [2 per cell]
Pm 0.105 0.500 0.600 [2 per cell]
Pm 0.218 0.000 0.860 [2 per cell]
Pm 0.263 0.500 0.142 [2 per cell]
Pm 0.304 0.000 0.432 [2 per cell]
Pm 0.416 0.500 0.691 [2 per cell]
Ir 0.059 0.500 0.836 [2 per cell]
Ir 0.260 0.000 0.645 [2 per cell]
Ir 0.376 0.000 0.067 [2 per cell]
Ir 0.461 0.500 0.454 [2 per cell]
Pt 0.143 0.000 0.223 [2 per cell]

4.
Material: PmIrPt
Method: DFT, PBE
State: relaxed

Properties
Its total energy is -7.426 eV/atom. As for the energy above the most stable polymorph in this dataset: 0.000 eV/atom. The volume comes out at 229.8 Å³ per cell. The formation energy comes out at -875 meV per atom.

Unit cell a=5.440 b=5.454 c=7.745 alpha=90.00 beta=90.00 gamma=90.00
Space group Imma (No. 74)
One atom of each set of equivalent atoms:
Pm 0.000 0.250 0.126 [4 per cell]
Ir 0.000 0.000 0.500 [4 per cell]
Pt 0.250 0.250 0.750 [4 per cell]

5.
Material: Pm5Ir4Pt
Method: DFT, PBE
State: relaxed

Properties
Its total energy is -7.221 eV/atom. The volume comes out at 221.0 Å³ per cell. The formation energy comes out at -697 meV per atom.

Unit cell a=3.515 b=3.515 c=17.881 alpha=90.00 beta=90.00 gamma=90.00
Space group P4/mmm (No. 123)
One atom of each set of equivalent atoms:
Pm 0.000 0.000 0.000 [1 per cell]
Pm 0.000 0.000 0.199 [2 per cell]
Pm 0.000 0.000 0.396 [2 per cell]
Ir 0.500 0.500 0.100 [2 per cell]
Ir 0.500 0.500 0.299 [2 per cell]
Pt 0.500 0.500 0.500 [1 per cell]

6.
Material: Pm7Ir2Pt2
Method: DFT, PBE
State: relaxed

Properties
Its total energy is -6.320 eV/atom. As for the energy above the most stable polymorph in this dataset: 0.146 eV/atom. The volume comes out at 651.8 Å³ per cell. The formation energy comes out at -587 meV per atom.

Unit cell a=8.718 b=10.629 c=7.035 alpha=90.00 beta=90.00 gamma=90.00
Space group Cmmm (No. 65)
One atom of each set of equivalent atoms:
Pm 0.000 0.000 0.000 [2 per cell]
Pm 0.000 0.500 0.250 [4 per cell]
Pm 0.250 0.250 0.258 [8 per cell]
Ir 0.000 0.277 0.000 [4 per cell]
Pt 0.236 0.000 0.500 [4 per cell]